1.
An optimized crystal structure of Pm4TmPb, computed with PBE.

a = 5.390 Å, b = 6.857 Å, c = 11.965 Å
α = 90.00°, β = 103.02°, γ = 90.00°
Element x y z (fractional)
Pm1 0.289 0.005 0.577
Pm2 0.559 0.455 0.118
Pm3 0.136 0.747 0.272
Pm4 0.441 0.955 0.882
Pm5 0.864 0.247 0.728
Pm6 0.287 0.506 0.573
Pm7 0.711 0.505 0.423
Pm8 0.713 0.006 0.427
Tm1 0.853 0.750 0.707
Tm2 0.147 0.250 0.293
Pb1 0.424 0.470 0.848
Pb2 0.576 0.970 0.152

**Crystal system**: orthorhombic
**Formation energy from the elements**: 0.0313 eV per atom
**DOS at the Fermi energy**: 1.35 states/eV per atom
**Space group**: Cmc2_1 (36)

=====

2.
An optimized crystal structure of Sm3TlGe, computed with PBE.

a = 6.013 Å, b = 6.013 Å, c = 9.045 Å
α = 102.73°, β = 102.73°, γ = 109.73°
Element x y z (fractional)
Sm1 0.190 0.690 0.881
Sm2 0.420 0.294 0.714
Sm3 0.580 0.706 0.286
Sm4 0.206 0.080 0.286
Sm5 0.794 0.920 0.714
Sm6 0.810 0.310 0.119
Tl1 0.790 0.290 0.500
Tl2 0.210 0.710 0.500
Ge1 0.750 0.750 0.000
Ge2 0.250 0.250 0.000

**Crystal system**: orthorhombic
**Formation energy from the elements**: -0.4628 eV per atom
**DOS at the Fermi energy**: 1.03 states/eV per atom
**Space group**: Fmmm (69)

=====

3.
An optimized crystal structure of In2SnPt9, computed with PBE.

a = 4.052 Å, b = 4.052 Å, c = 12.155 Å
α = 90.00°, β = 90.00°, γ = 90.00°
Element x y z (fractional)
Pt1 0.500 0.000 0.500
Pt2 0.500 0.500 0.000
Pt3 0.500 0.000 0.167
Pt4 0.000 0.500 0.500
Pt5 0.500 0.000 0.833
Pt6 0.500 0.500 0.667
Pt7 0.500 0.500 0.333
Pt8 0.000 0.500 0.833
Pt9 0.000 0.500 0.167
Sn1 0.000 0.000 0.000
In1 0.000 0.000 0.335
In2 0.000 0.000 0.665

**Crystal system**: tetragonal
**Formation energy from the elements**: -0.3892 eV per atom
**DOS at the Fermi energy**: 0.99 states/eV per atom
**Space group**: P4/mmm (123)

=====

4.
An optimized crystal structure of KGeBr3, computed with PBE.

a = 4.292 Å, b = 8.195 Å, c = 8.195 Å
α = 113.74°, β = 90.00°, γ = 90.00°
Element x y z (fractional)
Br1 0.000 0.245 0.755
Br2 0.500 0.227 0.348
Br3 0.500 0.652 0.773
K1 0.500 0.075 0.925
Ge1 0.000 0.429 0.571

**Crystal system**: orthorhombic
**Electronic total energy**: -0.1132 hartree per atom
**DOS at the Fermi energy**: 0.00 states/eV per atom
**Space group**: Amm2 (38)

=====

5.
An optimized crystal structure of Dy6Cd3Ag, computed with PBE.

a = 5.334 Å, b = 9.110 Å, c = 11.681 Å
α = 109.78°, β = 90.00°, γ = 90.00°
Element x y z (fractional)
Cd1 0.750 0.472 0.626
Cd2 0.250 0.395 0.784
Cd3 0.250 0.772 0.976
Cd4 0.750 0.605 0.216
Cd5 0.250 0.528 0.374
Cd6 0.750 0.228 0.024
Dy1 0.250 0.094 0.865
Dy2 0.750 0.536 0.916
Dy3 0.250 0.848 0.310
Dy4 0.250 0.464 0.084
Dy5 0.750 0.334 0.328
Dy6 0.250 0.136 0.157
Dy7 0.250 0.666 0.672
Dy8 0.750 0.152 0.690
Dy9 0.750 0.864 0.843
Dy10 0.250 0.246 0.495
Dy11 0.750 0.906 0.135
Dy12 0.750 0.754 0.505
Ag1 0.750 0.048 0.409
Ag2 0.250 0.952 0.591

**Crystal system**: monoclinic
**Formation energy from the elements**: -0.2099 eV per atom
**DOS at the Fermi energy**: 0.90 states/eV per atom
**Space group**: P2_1/m (11)

=====

6.
An optimized crystal structure of CuSn2W, computed with PBE.

a = 4.741 Å, b = 4.741 Å, c = 4.741 Å
α = 60.00°, β = 60.00°, γ = 60.00°
Element x y z (fractional)
W1 0.500 0.500 0.500
Sn1 0.250 0.250 0.250
Sn2 0.750 0.750 0.750
Cu1 0.000 0.000 0.000

**Crystal system**: cubic
**Formation energy from the elements**: 0.6848 eV per atom
**ΔE to the lowest computed polymorph**: 0.00 eV per formula unit
**DOS at the Fermi energy**: 1.15 states/eV per atom
**Space group**: Fm-3m (225)

=====

7.
An optimized crystal structure of Pr2SbCl, computed with PBE.

a = 5.385 Å, b = 5.385 Å, c = 5.385 Å
α = 60.00°, β = 60.00°, γ = 60.00°
Element x y z (fractional)
Pr1 0.750 0.750 0.750
Pr2 0.250 0.250 0.250
Sb1 0.500 0.500 0.500
Cl1 0.000 0.000 0.000

**Crystal system**: cubic
**Electronic total energy**: -0.1879 hartree per atom
**DOS at the Fermi energy**: 0.77 states/eV per atom
**Space group**: Fm-3m (225)

=====

8.
An optimized crystal structure of Co2TcPb, computed with PBE.

a = 4.133 Å, b = 4.133 Å, c = 8.520 Å
α = 75.96°, β = 75.96°, γ = 90.00°
Element x y z (fractional)
Co1 0.543 0.125 0.250
Co2 0.875 0.793 0.750
Co3 0.375 0.457 0.750
Co4 0.207 0.625 0.250
Tc1 0.250 0.750 0.500
Tc2 0.500 0.500 0.000
Pb1 0.750 0.250 0.500
Pb2 0.000 0.000 0.000

**Crystal system**: tetragonal
**Formation energy from the elements**: 0.8984 eV per atom
**DOS at the Fermi energy**: 0.95 states/eV per atom
**Space group**: I-42d (122)

=====

9.
An optimized crystal structure of SrIr2Pb, computed with PBE.

a = 3.819 Å, b = 3.267 Å, c = 7.568 Å
α = 64.46°, β = 90.00°, γ = 90.00°
Element x y z (fractional)
Sr1 0.500 0.750 0.750
Ir1 0.000 0.959 0.040
Ir2 0.000 0.541 0.460
Pb1 0.500 0.250 0.250

**Crystal system**: orthorhombic
**Formation energy from the elements**: 0.3068 eV per atom
**DOS at the Fermi energy**: 0.45 states/eV per atom
**Space group**: Pmmm (47)

=====

10.
An optimized crystal structure of CeSm2Pt, computed with PBE.

a = 3.602 Å, b = 3.602 Å, c = 8.528 Å
α = 90.00°, β = 90.00°, γ = 90.00°
Element x y z (fractional)
Sm1 0.000 0.000 0.198
Sm2 0.000 0.000 0.802
Pt1 0.500 0.500 0.000
Ce1 0.500 0.500 0.500

**Crystal system**: tetragonal
**Formation energy from the elements**: -0.4776 eV per atom
**ΔE to the lowest computed polymorph**: 0.42 eV per formula unit
**DOS at the Fermi energy**: 1.88 states/eV per atom
**Space group**: P4/mmm (123)

=====

11.
An optimized crystal structure of Dy2Ga9Ag, computed with PBE.

a = 4.278 Å, b = 4.278 Å, c = 12.514 Å
α = 90.00°, β = 90.00°, γ = 90.00°
Element x y z (fractional)
Ga1 0.500 0.000 0.152
Ga2 0.500 0.000 0.848
Ga3 0.000 0.500 0.500
Ga4 0.500 0.000 0.500
Ga5 0.500 0.500 0.000
Ga6 0.000 0.500 0.152
Ga7 0.500 0.500 0.340
Ga8 0.500 0.500 0.660
Ga9 0.000 0.500 0.848
Ag1 0.000 0.000 0.000
Dy1 0.000 0.000 0.328
Dy2 0.000 0.000 0.672

**Crystal system**: tetragonal
**Formation energy from the elements**: -0.3277 eV per atom
**DOS at the Fermi energy**: 0.35 states/eV per atom
**Space group**: P4/mmm (123)

=====

12.
An optimized crystal structure of Rb2HoHgCl6, computed with PBE.

a = 7.650 Å, b = 8.215 Å, c = 11.083 Å
α = 90.00°, β = 90.00°, γ = 90.00°
Element x y z (fractional)
Hg1 0.000 0.715 0.500
Hg2 0.500 0.285 0.000
Rb1 0.000 0.201 0.279
Rb2 0.500 0.799 0.779
Rb3 0.500 0.799 0.221
Rb4 0.000 0.201 0.721
Cl1 0.760 0.008 0.000
Cl2 0.254 0.563 0.000
Cl3 0.500 0.214 0.263
Cl4 0.754 0.437 0.500
Cl5 0.240 0.008 0.000
Cl6 0.746 0.563 0.000
Cl7 0.740 0.992 0.500
Cl8 0.000 0.786 0.763
Cl9 0.000 0.786 0.237
Cl10 0.500 0.214 0.737
Cl11 0.260 0.992 0.500
Cl12 0.246 0.437 0.500
Ho1 0.000 0.777 0.000
Ho2 0.500 0.223 0.500

**Crystal system**: orthorhombic
**Electronic total energy**: -0.1291 hartree per atom
**DOS at the Fermi energy**: 0.48 states/eV per atom
**Space group**: Pmmn (59)